Record 1
Entry from Alexandria via LeMat-Bulk: a relaxed structure of Ti4Sb3H (PBE).

Values from the calculation:
Volume = 317.1 Å³ per cell
N(E_F) = 9.4 states/eV/cell
E_tot = -6.073 eV/atom
M_tot = 0.00 μB per formula unit

Unit cell a=8.2763 b=7.2646 c=5.2740 alpha=90.00 beta=90.00 gamma=90.00
Last column: nearest neighbours and their distance in Å.
Positions (direct):
Ti 0.0000 0.1173 0.0000  1 H 1.89
Ti 0.0000 0.8705 0.4740  1 H 1.90
Ti 0.1779 0.7744 0.9996  1 H 1.89
Ti 0.3221 0.2256 0.4996  1 H 1.89
Ti 0.5000 0.1295 0.9740  1 H 1.90
Ti 0.5000 0.8827 0.5000  1 H 1.89
Ti 0.6779 0.2256 0.4996  1 H 1.89
Ti 0.8221 0.7744 0.9996  1 H 1.89
Sb 0.0000 0.2451 0.4993  5 Ti 2.67-2.80
Sb 0.2423 0.6211 0.4987  5 Ti 2.71-2.95
Sb 0.2577 0.3789 0.9987  5 Ti 2.71-2.95
Sb 0.5000 0.7549 0.9993  5 Ti 2.67-2.80
Sb 0.7423 0.3789 0.9987  5 Ti 2.71-2.95
Sb 0.7577 0.6211 0.4987  5 Ti 2.71-2.95
H 0.0000 0.8859 0.8345  4 Ti 1.89-1.90
H 0.5000 0.1141 0.3345  4 Ti 1.89-1.90

***

Record 2
Entry from Alexandria via LeMat-Bulk: a relaxed structure of Ti3SbH (PBE).

Values from the calculation:
Volume = 313.0 Å³ per cell
N(E_F) = 21.5 states/eV/cell
Distance to the lowest polymorph of the same formula = 294.3 meV/atom
E_tot = -6.403 eV/atom
M_tot = 0.00 μB per formula unit

Unit cell a=5.2878 b=8.3315 c=7.1052 alpha=90.00 beta=90.00 gamma=90.00
Last column: nearest neighbours and their distance in Å.
Positions (direct):
Ti 0.9996 0.1022 0.1276  1 H 1.83
Ti 0.9996 0.3978 0.1276  1 H 1.83
Ti 0.0004 0.6022 0.8724  1 H 1.83
Ti 0.0004 0.8978 0.8724  1 H 1.83
Ti 0.2465 0.2500 0.7542  2 H 1.87-1.88
Ti 0.2535 0.7500 0.2542  2 H 1.87-1.88
Ti 0.4996 0.1022 0.3724  1 H 1.83
Ti 0.4996 0.3978 0.3724  1 H 1.83
Ti 0.5004 0.6022 0.6276  1 H 1.83
Ti 0.5004 0.8978 0.6276  1 H 1.83
Ti 0.7465 0.2500 0.7458  2 H 1.87-1.88
Ti 0.7535 0.7500 0.2458  2 H 1.87-1.88
Sb 0.0000 0.0000 0.5000  10 Ti 2.78-3.05
Sb 0.0000 0.5000 0.5000  10 Ti 2.78-3.05
Sb 0.5000 0.0000 0.0000  10 Ti 2.78-3.05
Sb 0.5000 0.5000 0.0000  10 Ti 2.78-3.05
H 0.0084 0.7500 0.0631  4 Ti 1.83-1.88
H 0.4916 0.2500 0.5631  4 Ti 1.83-1.88
H 0.5084 0.7500 0.4369  4 Ti 1.83-1.88
H 0.9916 0.2500 0.9369  4 Ti 1.83-1.88

***

Record 3
Entry from Alexandria via LeMat-Bulk: a relaxed structure of Ti12Sb6H (PBE).

Values from the calculation:
Volume = 367.5 Å³ per cell
N(E_F) = 23.1 states/eV/cell
E_tot = -6.633 eV/atom
M_tot = 0.06 μB per formula unit

Unit cell a=7.3628 b=7.3628 c=7.3628 alpha=102.18 beta=102.18 gamma=102.18
Last column: nearest neighbours and their distance in Å.
Positions (direct):
Ti 0.0171 0.0480 0.2885  1 H 2.05
Ti 0.0480 0.2885 0.0171  1 H 2.05
Ti 0.2058 0.5060 0.3964  4 Sb 2.73-2.97, 3 Ti 2.77-3.01
Ti 0.2885 0.0171 0.0480  1 H 2.05
Ti 0.3964 0.2058 0.5060  4 Sb 2.73-2.97, 3 Ti 2.77-3.01
Ti 0.4940 0.6036 0.7942  4 Sb 2.73-2.97, 3 Ti 2.77-3.01
Ti 0.5060 0.3964 0.2058  4 Sb 2.73-2.97, 3 Ti 2.77-3.01
Ti 0.6036 0.7942 0.4940  4 Sb 2.73-2.97, 3 Ti 2.77-3.01
Ti 0.7115 0.9829 0.9520  1 H 2.05
Ti 0.7942 0.4940 0.6036  4 Sb 2.73-2.97, 3 Ti 2.77-3.01
Ti 0.9520 0.7115 0.9829  1 H 2.05
Ti 0.9829 0.9520 0.7115  1 H 2.05
Sb 0.1072 0.3227 0.6610  7 Ti 2.73-2.97
Sb 0.3227 0.6610 0.1072  7 Ti 2.73-2.97
Sb 0.3390 0.8928 0.6773  7 Ti 2.73-2.97
Sb 0.6610 0.1072 0.3227  7 Ti 2.73-2.97
Sb 0.6773 0.3390 0.8928  7 Ti 2.73-2.97
Sb 0.8928 0.6773 0.3390  7 Ti 2.73-2.97
H 0.0000 0.0000 0.0000  6 Ti 2.05

***

Record 4
Entry from Alexandria via LeMat-Bulk: a relaxed structure of Ti4SbH2 (PBE).

Values from the calculation:
Volume = 193.5 Å³ per cell
N(E_F) = 8.7 states/eV/cell
E_tot = -6.359 eV/atom
M_tot = 0.00 μB per formula unit

Unit cell a=5.7215 b=5.7215 c=7.2203 alpha=103.04 beta=103.04 gamma=115.43
Last column: nearest neighbours and their distance in Å.
Positions (direct):
Ti 0.0508 0.9492 0.5000  2 H 1.94-2.00
Ti 0.2013 0.6002 0.8004  2 H 1.94-2.00
Ti 0.5399 0.6569 0.1972  2 H 1.85-1.89
Ti 0.6002 0.2013 0.3004  2 H 1.94-2.00
Ti 0.6085 0.9926 0.6032  2 H 1.85-1.89
Ti 0.6569 0.5399 0.6972  2 H 1.85-1.89
Ti 0.9492 0.0508 0.0000  2 H 1.94-2.00
Ti 0.9926 0.6085 0.1032  2 H 1.85-1.89
Sb 0.1863 0.4359 0.4002  2 H 2.71, 8 Ti 2.76-2.86
Sb 0.4359 0.1863 0.9002  2 H 2.71, 8 Ti 2.76-2.86
H 0.3467 0.8159 0.0906  4 Ti 1.85-2.00
H 0.8159 0.3467 0.5906  4 Ti 1.85-2.00
H 0.8748 0.9070 0.7099  4 Ti 1.85-2.00
H 0.9070 0.8748 0.2099  4 Ti 1.85-2.00

***

Record 5
Entry from Alexandria via LeMat-Bulk: a relaxed structure of Ti3SbH (PBE).

Values from the calculation:
Volume = 144.3 Å³ per cell
N(E_F) = 7.7 states/eV/cell
Distance to the lowest polymorph of the same formula = 39.0 meV/atom
E_tot = -6.659 eV/atom
M_tot = 0.00 μB per formula unit

Unit cell a=5.7934 b=5.7934 c=4.7668 alpha=90.00 beta=90.00 gamma=115.57
Last column: nearest neighbours and their distance in Å.
Positions (direct):
Ti 0.1398 0.8602 0.7500  2 H 1.89
Ti 0.1621 0.3662 0.7517  1 H 1.91
Ti 0.3662 0.1621 0.2483  1 H 1.91
Ti 0.6338 0.8379 0.7483  1 H 1.91
Ti 0.8379 0.6338 0.2517  1 H 1.91
Ti 0.8602 0.1398 0.2500  2 H 1.89
Sb 0.3366 0.6634 0.2500  12 Ti 2.82-3.10
Sb 0.6634 0.3366 0.7500  12 Ti 2.82-3.10
H 0.0852 0.0852 0.5000  4 Ti 1.89-1.91
H 0.9148 0.9148 0.0000  4 Ti 1.89-1.91

***

Record 6
Entry from Alexandria via LeMat-Bulk: a relaxed structure of TiSbH2 (PBE).

Values from the calculation:
Volume = 100.0 Å³ per cell
N(E_F) = 5.4 states/eV/cell
Distance to the lowest polymorph of the same formula = 280.1 meV/atom
E_tot = -4.677 eV/atom
M_tot = 0.00 μB per formula unit

Unit cell a=6.3828 b=6.3828 c=6.3828 alpha=141.50 beta=141.50 gamma=55.59
Last column: nearest neighbours and their distance in Å.
Positions (direct):
Ti 0.0000 0.0000 0.0000  4 H 1.76
Ti 0.7500 0.2500 0.5000  4 H 1.76
Sb 0.2500 0.7500 0.5000  8 H 2.74-2.75, 4 Ti 2.98
Sb 0.5000 0.5000 0.0000  8 H 2.74-2.75, 4 Ti 2.98
H 0.3750 0.1266 0.2516  2 Ti 1.76
H 0.8734 0.1250 0.2484  2 Ti 1.76
H 0.8750 0.1234 0.7484  2 Ti 1.76
H 0.8766 0.6250 0.7516  2 Ti 1.76